[1]
Below is a relaxed Ni17As crystal, with properties calculated at the GGA-PBE level.

a = 4.2579 Å, b = 4.9402 Å, c = 31.0878 Å
α = 90.00°, β = 90.12°, γ = 90.00°
With the nearest neighbours (Å) after each atom.
Fractional coordinates of all 36 atoms:
Ni 0.0000 0.0000 0.0000  12 Ni 2.46-2.47
Ni 0.9998 0.9999 0.1959  11 Ni 2.45-2.49, 1 As 2.57
Ni 0.0002 0.0001 0.8041  11 Ni 2.45-2.49, 1 As 2.57
Ni 0.0000 0.5000 0.0000  12 Ni 2.46-2.47
Ni 0.9998 0.5001 0.1959  11 Ni 2.45-2.49, 1 As 2.57
Ni 0.0002 0.4999 0.8041  11 Ni 2.45-2.49, 1 As 2.57
Ni 0.1664 0.2500 0.0649  12 Ni 2.46-2.48
Ni 0.1661 0.7500 0.8696  12 Ni 2.46-2.49
Ni 0.1673 0.2500 0.8699  12 Ni 2.46-2.49
Ni 0.1674 0.7500 0.0649  12 Ni 2.46-2.48
Ni 0.1687 0.7500 0.2616  7 Ni 2.45-2.51, 2 As 2.47
Ni 0.3327 0.0001 0.1303  12 Ni 2.46-2.49
Ni 0.3332 0.9999 0.9352  12 Ni 2.46-2.49
Ni 0.3327 0.4999 0.1303  12 Ni 2.46-2.49
Ni 0.3332 0.5001 0.9352  12 Ni 2.46-2.49
Ni 0.3343 0.0013 0.7387  7 Ni 2.45-2.50, 2 As 2.47
Ni 0.3343 0.4987 0.7387  7 Ni 2.45-2.50, 2 As 2.47
Ni 0.4969 0.2500 0.8047  12 Ni 2.45-2.51
Ni 0.4980 0.2500 0.1954  11 Ni 2.45-2.50, 1 As 2.59
Ni 0.5000 0.2500 0.0001  12 Ni 2.46-2.47
Ni 0.5000 0.7500 0.9999  12 Ni 2.46-2.47
Ni 0.5020 0.7500 0.8046  11 Ni 2.45-2.50, 1 As 2.59
Ni 0.5031 0.7500 0.1953  12 Ni 2.45-2.51
Ni 0.6657 0.5013 0.2613  7 Ni 2.45-2.50, 2 As 2.47
Ni 0.6657 0.9987 0.2613  7 Ni 2.45-2.50, 2 As 2.47
Ni 0.6668 0.0001 0.0648  12 Ni 2.46-2.49
Ni 0.6673 0.9999 0.8697  12 Ni 2.46-2.49
Ni 0.6668 0.4999 0.0648  12 Ni 2.46-2.49
Ni 0.6673 0.5001 0.8697  12 Ni 2.46-2.49
Ni 0.8313 0.2500 0.7384  7 Ni 2.45-2.51, 2 As 2.47
Ni 0.8326 0.2500 0.9351  12 Ni 2.46-2.48
Ni 0.8327 0.7500 0.1301  12 Ni 2.46-2.49
Ni 0.8339 0.2500 0.1304  12 Ni 2.46-2.49
Ni 0.8336 0.7500 0.9351  12 Ni 2.46-2.48
As 0.1657 0.2500 0.2649  9 Ni 2.47-2.59
As 0.8343 0.7500 0.7351  9 Ni 2.47-2.59

**Space group**: P2_1/m
**Energy**: -196.97 eV per cell

[2]
Below is a relaxed NiAs3 crystal, with properties calculated at the GGA-PBE level.

a = 7.3308 Å, b = 7.3308 Å, c = 3.7594 Å
α = 90.00°, β = 90.00°, γ = 120.00°
With the nearest neighbours (Å) after each atom.
Fractional coordinates of all 8 atoms:
Ni 0.3333 0.6667 0.2500  6 As 2.40
Ni 0.6667 0.3333 0.7500  6 As 2.40
As 0.2164 0.4327 0.7500  2 Ni 2.40, 2 As 2.57
As 0.2164 0.7836 0.7500  2 Ni 2.40, 2 As 2.57
As 0.4327 0.2164 0.2500  2 Ni 2.40, 2 As 2.57
As 0.5673 0.7836 0.7500  2 Ni 2.40, 2 As 2.57
As 0.7836 0.2164 0.2500  2 Ni 2.40, 2 As 2.57
As 0.7836 0.5673 0.2500  2 Ni 2.40, 2 As 2.57

**Space group**: P6_3/mmc
**Distance to the lowest polymorph of the same formula**: 0.000 eV per atom

[3]
Below is a relaxed NiAs3 crystal, with properties calculated at the GGA-PBE level.

a = 4.5565 Å, b = 4.5565 Å, c = 4.5565 Å
α = 60.00°, β = 60.00°, γ = 60.00°
With the nearest neighbours (Å) after each atom.
Fractional coordinates of all 4 atoms:
Ni 0.0000 0.0000 0.0000  8 As 2.79
As 0.2500 0.2500 0.2500  4 As 2.79, 4 Ni 2.79
As 0.5000 0.5000 0.5000  8 As 2.79
As 0.7500 0.7500 0.7500  4 Ni 2.79, 4 As 2.79

**Space group**: Fm-3m
**Distance to the lowest polymorph of the same formula**: 0.296 eV per atom

[4]
Below is a relaxed Ni3As crystal, with properties calculated at the GGA-PBE level.

a = 5.0970 Å, b = 5.0970 Å, c = 4.1133 Å
α = 90.00°, β = 90.00°, γ = 120.00°
With the nearest neighbours (Å) after each atom.
Fractional coordinates of all 8 atoms:
Ni 0.1672 0.3344 0.2500  4 As 2.53-2.55, 8 Ni 2.53-2.56
Ni 0.1672 0.8328 0.2500  4 As 2.53-2.55, 8 Ni 2.53-2.56
Ni 0.3344 0.1672 0.7500  4 As 2.53-2.55, 8 Ni 2.53-2.56
Ni 0.6656 0.8328 0.2500  4 As 2.53-2.55, 8 Ni 2.53-2.56
Ni 0.8328 0.1672 0.7500  4 As 2.53-2.55, 8 Ni 2.53-2.56
Ni 0.8328 0.6656 0.7500  4 As 2.53-2.55, 8 Ni 2.53-2.56
As 0.3333 0.6667 0.7500  12 Ni 2.53-2.55
As 0.6667 0.3333 0.2500  12 Ni 2.53-2.55

**Space group**: P6_3/mmc
**Energy**: -43.90 eV per cell

[5]
Below is a relaxed Ni4As3 crystal, with properties calculated at the GGA-PBE level.

a = 7.6625 Å, b = 7.6625 Å, c = 7.6625 Å
α = 29.50°, β = 29.50°, γ = 29.50°
With the nearest neighbours (Å) after each atom.
Fractional coordinates of all 7 atoms:
Ni 0.0000 0.0000 0.0000  3 As 2.36
Ni 0.1309 0.1309 0.1309  3 As 2.36
Ni 0.3989 0.3989 0.3989  3 As 2.37
Ni 0.5298 0.5298 0.5298  3 As 2.37
As 0.2643 0.2643 0.2643  8 Ni 2.70-2.96
As 0.6991 0.6991 0.6991  6 Ni 2.36-2.37
As 0.8295 0.8295 0.8295  6 Ni 2.36-2.37

**Space group**: R3m
**Energy**: -36.65 eV per cell

[6]
Below is a relaxed Ni2As crystal, with properties calculated at the GGA-PBE level.

a = 7.1583 Å, b = 7.1583 Å, c = 7.1583 Å
α = 60.00°, β = 60.00°, γ = 60.00°
With the nearest neighbours (Å) after each atom.
Fractional coordinates of all 6 atoms:
Ni 0.0000 0.0000 0.0000  2 As 2.19
Ni 0.0000 0.0000 0.5000  2 As 2.19
Ni 0.0000 0.5000 0.0000  2 As 2.19
Ni 0.5000 0.0000 0.0000  2 As 2.19
As 0.1250 0.1250 0.1250  4 Ni 2.19
As 0.8750 0.8750 0.8750  4 Ni 2.19

**Space group**: Fd-3m
**Energy**: -24.26 eV per cell

[7]
Below is a relaxed Ni17As crystal, with properties calculated at the GGA-PBE level.

a = 4.9663 Å, b = 4.9663 Å, c = 31.2176 Å
α = 90.00°, β = 90.00°, γ = 120.00°
With the nearest neighbours (Å) after each atom.
Fractional coordinates of all 36 atoms:
Ni 0.0000 0.0000 0.0000  12 Ni 2.48
Ni 0.0000 0.0000 0.1950  12 Ni 2.48-2.49
Ni 0.0000 0.0000 0.8050  12 Ni 2.48-2.49
Ni 0.0000 0.5000 0.0000  12 Ni 2.48
Ni 0.9999 0.4999 0.1950  11 Ni 2.48-2.49, 1 As 2.49
Ni 0.0001 0.5001 0.8050  11 Ni 2.48-2.49, 1 As 2.49
Ni 0.1667 0.3334 0.1300  12 Ni 2.48
Ni 0.1666 0.3332 0.7399  7 Ni 2.48-2.49, 2 As 2.48
Ni 0.1667 0.3333 0.9350  12 Ni 2.48
Ni 0.1667 0.8333 0.1300  12 Ni 2.48
Ni 0.1666 0.8334 0.7399  7 Ni 2.48-2.49, 2 As 2.48
Ni 0.1667 0.8333 0.9350  12 Ni 2.48
Ni 0.3333 0.1667 0.0650  12 Ni 2.48
Ni 0.3332 0.1666 0.2601  7 Ni 2.48-2.49, 2 As 2.48
Ni 0.3334 0.1667 0.8700  12 Ni 2.48
Ni 0.3333 0.6667 0.0650  12 Ni 2.48
Ni 0.3333 0.6667 0.8700  12 Ni 2.48
Ni 0.5000 0.0000 0.0000  12 Ni 2.48
Ni 0.5001 0.0001 0.1950  11 Ni 2.48-2.49, 1 As 2.49
Ni 0.4999 0.9999 0.8050  11 Ni 2.48-2.49, 1 As 2.49
Ni 0.5000 0.5000 0.0000  12 Ni 2.48
Ni 0.5001 0.4999 0.1950  11 Ni 2.48-2.49, 1 As 2.49
Ni 0.4999 0.5001 0.8050  11 Ni 2.48-2.49, 1 As 2.49
Ni 0.6667 0.3333 0.1300  12 Ni 2.48
Ni 0.6667 0.3333 0.9350  12 Ni 2.48
Ni 0.6666 0.8333 0.1300  12 Ni 2.48
Ni 0.6668 0.8334 0.7399  7 Ni 2.48-2.49, 2 As 2.48
Ni 0.6667 0.8333 0.9350  12 Ni 2.48
Ni 0.8333 0.1667 0.0650  12 Ni 2.48
Ni 0.8334 0.1666 0.2601  7 Ni 2.48-2.49, 2 As 2.48
Ni 0.8333 0.1667 0.8700  12 Ni 2.48
Ni 0.8333 0.6667 0.0650  12 Ni 2.48
Ni 0.8334 0.6668 0.2601  7 Ni 2.48-2.49, 2 As 2.48
Ni 0.8333 0.6666 0.8700  12 Ni 2.48
As 0.3333 0.6667 0.2602  9 Ni 2.48-2.49
As 0.6667 0.3333 0.7398  9 Ni 2.48-2.49

**Space group**: P-3m1
**Energy**: -196.97 eV per cell

[8]
Below is a relaxed Ni31As12 crystal, with properties calculated at the GGA-PBE level.

a = 6.8135 Å, b = 6.8135 Å, c = 12.5988 Å
α = 90.00°, β = 90.00°, γ = 120.00°
With the nearest neighbours (Å) after each atom.
Fractional coordinates of all 43 atoms:
Ni 0.0000 0.0000 0.0000  5 As 2.39-2.68, 6 Ni 2.66
Ni 0.0000 0.0000 0.4027  4 As 2.40-2.50, 7 Ni 2.45-2.59
Ni 0.0000 0.0000 0.5973  4 As 2.40-2.50, 7 Ni 2.45-2.59
Ni 0.0311 0.3563 0.1979  4 As 2.29-2.50, 2 Ni 2.51-2.57
Ni 0.0362 0.7027 0.6983  4 As 2.34-2.54, 4 Ni 2.51-2.59
Ni 0.0707 0.6921 0.9053  3 As 2.34-2.55, 3 Ni 2.51-2.59
Ni 0.0824 0.4150 0.4065  3 As 2.34-2.45, 5 Ni 2.55-2.61
Ni 0.2973 0.3335 0.6983  4 As 2.34-2.54, 4 Ni 2.51-2.59
Ni 0.3079 0.3786 0.9053  3 As 2.34-2.55, 3 Ni 2.51-2.59
Ni 0.3251 0.9689 0.1979  4 As 2.29-2.50, 2 Ni 2.51-2.57
Ni 0.3333 0.6667 0.0732  4 As 2.40-2.52, 6 Ni 2.61-2.63
Ni 0.3333 0.6667 0.5750  4 As 2.45-2.50, 9 Ni 2.61-2.73
Ni 0.3326 0.9176 0.4065  3 As 2.34-2.45, 5 Ni 2.55-2.61
Ni 0.3335 0.2973 0.3017  4 As 2.34-2.54, 4 Ni 2.51-2.59
Ni 0.3563 0.0311 0.8021  4 As 2.29-2.50, 2 Ni 2.51-2.57
Ni 0.3786 0.3079 0.0947  3 As 2.34-2.55, 3 Ni 2.51-2.59
Ni 0.4150 0.0824 0.5935  3 As 2.34-2.45, 5 Ni 2.55-2.61
Ni 0.5850 0.6674 0.4065  3 As 2.34-2.45, 5 Ni 2.55-2.61
Ni 0.6214 0.9293 0.9053  3 As 2.34-2.55, 3 Ni 2.51-2.59
Ni 0.6437 0.6749 0.1979  4 As 2.29-2.50, 2 Ni 2.51-2.57
Ni 0.6665 0.9638 0.6983  4 As 2.34-2.54, 4 Ni 2.51-2.59
Ni 0.6667 0.3333 0.4250  4 As 2.45-2.50, 9 Ni 2.61-2.73
Ni 0.6667 0.3333 0.9268  4 As 2.40-2.52, 6 Ni 2.61-2.63
Ni 0.6674 0.5850 0.5935  3 As 2.34-2.45, 5 Ni 2.55-2.61
Ni 0.6749 0.6437 0.8021  4 As 2.29-2.50, 2 Ni 2.51-2.57
Ni 0.6921 0.0707 0.0947  3 As 2.34-2.55, 3 Ni 2.51-2.59
Ni 0.7027 0.0362 0.3017  4 As 2.34-2.54, 4 Ni 2.51-2.59
Ni 0.9176 0.3326 0.5935  3 As 2.34-2.45, 5 Ni 2.55-2.61
Ni 0.9293 0.6214 0.0947  3 As 2.34-2.55, 3 Ni 2.51-2.59
Ni 0.9638 0.6665 0.3017  4 As 2.34-2.54, 4 Ni 2.51-2.59
Ni 0.9689 0.3251 0.8021  4 As 2.29-2.50, 2 Ni 2.51-2.57
As 0.0000 0.0000 0.2126  7 Ni 2.34-2.43
As 0.0000 0.0000 0.7874  7 Ni 2.34-2.43
As 0.0000 0.3515 0.0000  9 Ni 2.34-2.50
As 0.0000 0.6804 0.5000  10 Ni 2.34-2.51
As 0.3196 0.3196 0.5000  10 Ni 2.34-2.51
As 0.3333 0.6667 0.2735  10 Ni 2.29-2.54
As 0.3333 0.6667 0.7692  10 Ni 2.34-2.55
As 0.3515 0.0000 0.0000  9 Ni 2.34-2.50
As 0.6485 0.6485 0.0000  9 Ni 2.34-2.50
As 0.6667 0.3333 0.2308  10 Ni 2.34-2.55
As 0.6667 0.3333 0.7265  10 Ni 2.29-2.54
As 0.6804 0.0000 0.5000  10 Ni 2.34-2.51

**Space group**: P321
**Energy**: -239.06 eV per cell

Here are the calculated calculated volume numbers, same order: 653.9; 175.0; 66.9; 92.5; 96.6; 259.4; 666.8; 506.5 (Å³ per cell).